## PtPbI2N (GGA-PBE)

Data for a geometry-optimized PtPbI2N structure.

Output
Energy relative to the elements, uncorrected ... 0.321 eV per atom
Theoretical density ... 8.10 g/cm³

a = 6.0504 Å, b = 6.0504 Å, c = 3.7530 Å
α = 90.00°, β = 90.00°, γ = 90.00°
Closest atoms and distances in Å follow each position.
Fractional coordinates of all 5 atoms:
I1 0.5000 0.0000 0.0000  2 Pt 3.03
Pt1 0.0000 0.0000 0.0000  2 N 1.88
N1 0.0000 0.0000 0.5000  2 Pt 1.88
Pb1 0.5000 0.5000 0.5000  8 I 3.56, 2 Pb 3.75
I2 0.0000 0.5000 0.0000  2 Pt 3.03